(1)
Below is a relaxed Rh2Au2S crystal, with properties calculated at the GGA-PBE level.

Structure (CIF):
```
data_Rh2Au2S
_cell_length_a 5.992
_cell_length_b 5.992
_cell_length_c 4.707
_cell_angle_alpha 90.00
_cell_angle_beta 90.00
_cell_angle_gamma 90.00
_space_group_name_H-M_alt 'P 4/m b m'
_space_group_IT_number 127
_space_group_name_Hall '-P 4 2ab'
loop_
_atom_site_label
_atom_site_fract_x
_atom_site_fract_y
_atom_site_fract_z
Rh1 0.164 0.336 0.000
Au1 0.160 0.660 0.500
S1 0.000 0.000 0.000
```

Values from the calculation:
The uncorrected formation energy is 0.0972 eV/atom. The calculation puts the spin magnetization at 0.00 μB per cell.

(2)
Below is a relaxed Rh5AuS8 crystal, with properties calculated at the GGA-PBE level.

Structure (CIF):
```
data_Rh5AuS8
_cell_length_a 9.992
_cell_length_b 9.992
_cell_length_c 9.992
_cell_angle_alpha 90.00
_cell_angle_beta 90.00
_cell_angle_gamma 90.00
_space_group_name_H-M_alt 'F -4 3 m'
_space_group_IT_number 216
_space_group_name_Hall 'F -4 2 3'
loop_
_atom_site_label
_atom_site_fract_x
_atom_site_fract_y
_atom_site_fract_z
Rh1 0.000 0.000 0.000
Rh2 0.125 0.125 0.625
Au1 0.250 0.250 0.250
S1 0.110 0.110 0.390
S2 0.134 0.134 0.866
```

Values from the calculation:
The uncorrected formation energy is -0.3707 eV/atom. The calculation puts the spin magnetization at 0.00 μB per cell.

(3)
Below is a relaxed RhAuS crystal, with properties calculated at the GGA-PBE level.

Structure (CIF):
```
data_RhAuS
_cell_length_a 12.292
_cell_length_b 3.004
_cell_length_c 7.220
_cell_angle_alpha 90.00
_cell_angle_beta 122.75
_cell_angle_gamma 90.00
_space_group_name_H-M_alt 'C 1 2/m 1'
_space_group_IT_number 12
loop_
_space_group_symop_operation_xyz
'x,y,z'
'-x,-y,-z'
'-x,y,-z'
'x,-y,z'
'x+1/2,y+1/2,z'
'-x+1/2,-y+1/2,-z'
'-x+1/2,y+1/2,-z'
'x+1/2,-y+1/2,z'
loop_
_atom_site_label
_atom_site_fract_x
_atom_site_fract_y
_atom_site_fract_z
Rh1 0.124 0.000 0.268
Au1 0.134 0.000 0.907
S1 0.149 0.500 0.521
```

Values from the calculation:
The uncorrected formation energy is 0.0812 eV/atom. The calculation puts the spin magnetization at 0.00 μB per cell.

(4)
Below is a relaxed RhAu3S crystal, with properties calculated at the GGA-PBE level.

Structure (CIF):
```
data_RhAu3S
_cell_length_a 4.994
_cell_length_b 4.994
_cell_length_c 4.994
_cell_angle_alpha 90.00
_cell_angle_beta 90.00
_cell_angle_gamma 90.00
_space_group_name_H-M_alt 'P m -3 m'
_space_group_IT_number 221
_space_group_name_Hall '-P 4 2 3'
loop_
_atom_site_label
_atom_site_fract_x
_atom_site_fract_y
_atom_site_fract_z
Rh1 0.000 0.000 0.000
Au1 0.000 0.000 0.500
S1 0.500 0.500 0.500
```

Values from the calculation:
The uncorrected formation energy is 1.2875 eV/atom. The calculation puts the spin magnetization at 1.60 μB per cell.

(5)
Below is a relaxed RhAuS3 crystal, with properties calculated at the GGA-PBE level.

Structure (CIF):
```
data_RhAuS3
_cell_length_a 4.648
_cell_length_b 4.648
_cell_length_c 4.648
_cell_angle_alpha 90.00
_cell_angle_beta 90.00
_cell_angle_gamma 90.00
_space_group_name_H-M_alt 'P m -3 m'
_space_group_IT_number 221
_space_group_name_Hall '-P 4 2 3'
loop_
_atom_site_label
_atom_site_fract_x
_atom_site_fract_y
_atom_site_fract_z
Rh1 0.000 0.000 0.000
Au1 0.500 0.500 0.500
S1 0.000 0.000 0.500
```

Values from the calculation:
The uncorrected formation energy is 0.6815 eV/atom. The calculation puts the spin magnetization at 2.18 μB per cell.

(6)
Below is a relaxed RhAu3S crystal, with properties calculated at the GGA-PBE level.

Structure (CIF):
```
data_RhAu3S
_cell_length_a 4.640
_cell_length_b 4.640
_cell_length_c 4.640
_cell_angle_alpha 90.00
_cell_angle_beta 90.00
_cell_angle_gamma 90.00
_space_group_name_H-M_alt 'P m -3 m'
_space_group_IT_number 221
_space_group_name_Hall '-P 4 2 3'
loop_
_atom_site_label
_atom_site_fract_x
_atom_site_fract_y
_atom_site_fract_z
Rh1 0.000 0.000 0.000
Au1 0.000 0.500 0.500
S1 0.500 0.500 0.500
```

Values from the calculation:
The uncorrected formation energy is 0.7702 eV/atom. The calculation puts the spin magnetization at 0.00 μB per cell.